{
  "formula": "CaSmMg",
  "functional": "PBE-GGA",
  "state": "optimized geometry",
  "lattice": [[3.4426, 0.0000, 0.0000], [0.0000, 5.6716, 0.0000], [0.0000, -2.8358, 4.9117]],
  "species": ["Ca", "Mg", "Sm"],
  "fractional_positions": [[0.9417, 0.0000, 0.0000], [0.7131, 0.6667, 0.3333], [0.3452, 0.3333, 0.6667]],
  "e_tot_ev_per_atom": -2.70,
  "e_above_lowest_polymorph_mev_per_atom": 115,
  "total_magnetization_mub_per_fu": 0.00,
  "formation_enthalpy_0k_ev_per_atom": 0.069
}

---

{
  "formula": "La4CeGa5",
  "functional": "PBE-GGA",
  "state": "optimized geometry",
  "lattice": [[-1.9370, 2.8046, 1.5444], [-0.2286, -1.9215, 3.2028], [16.0187, 7.8430, 5.8486]],
  "species": ["Ga", "Ga", "Ga", "Ga", "Ga", "La", "La", "La", "La", "Ce"],
  "fractional_positions": [[0.5000, 0.5000, 0.2973], [0.5000, 0.5000, 0.9054], [0.5000, 0.5000, 0.0946], [0.5000, 0.5000, 0.5000], [0.5000, 0.5000, 0.7027], [0.0000, 0.0000, 0.3988], [0.0000, 0.0000, 0.6012], [0.0000, 0.0000, 0.8035], [0.0000, 0.0000, 0.1965], [0.0000, 0.0000, 0.0000]],
  "e_tot_ev_per_atom": -4.62,
  "total_magnetization_mub_per_fu": 0.74,
  "formation_enthalpy_0k_ev_per_atom": -0.543
}

---

{
  "formula": "LaTb5Mg3",
  "functional": "PBE-GGA",
  "state": "optimized geometry",
  "lattice": [[7.0315, 0.0000, 0.0000], [0.0000, 9.4566, 0.0000], [0.0000, -4.7283, 8.1893]],
  "species": ["Tb", "Tb", "Tb", "Tb", "Tb", "Tb", "Tb", "Tb", "Tb", "Tb", "La", "La", "Mg", "Mg", "Mg", "Mg", "Mg", "Mg"],
  "fractional_positions": [[0.2500, 0.0000, 0.6613], [0.2500, 0.6613, 0.0000], [0.0000, 0.6667, 0.3333], [0.7500, 0.0000, 0.3387], [0.7500, 0.3387, 0.0000], [0.0000, 0.3333, 0.6667], [0.5000, 0.3333, 0.6667], [0.7500, 0.6613, 0.6613], [0.2500, 0.3387, 0.3387], [0.5000, 0.6667, 0.3333], [0.0000, 0.0000, 0.0000], [0.5000, 0.0000, 0.0000], [0.7500, 0.0000, 0.6654], [0.2500, 0.6654, 0.6654], [0.7500, 0.3346, 0.3346], [0.2500, 0.0000, 0.3346], [0.7500, 0.6654, 0.0000], [0.2500, 0.3346, 0.0000]],
  "e_tot_ev_per_atom": -3.63,
  "total_magnetization_mub_per_fu": 0.00,
  "formation_enthalpy_0k_ev_per_atom": 0.018
}

---

{
  "formula": "HgPd2Se",
  "functional": "PBE-GGA",
  "state": "optimized geometry",
  "lattice": [[-0.4495, 5.9128, 0.4140], [-5.8094, -0.2693, -2.4616], [-3.1334, -0.6655, 7.4676]],
  "species": ["Se", "Se", "Se", "Se", "Pd", "Pd", "Pd", "Pd", "Pd", "Pd", "Pd", "Pd", "Hg", "Hg", "Hg", "Hg"],
  "fractional_positions": [[0.7987, 0.5700, 0.3708], [0.7013, 0.0700, 0.6292], [0.2013, 0.4300, 0.6292], [0.2987, 0.9300, 0.3708], [0.4801, 0.3030, 0.3972], [0.9847, 0.1936, 0.8356], [0.5153, 0.6936, 0.1644], [0.5199, 0.6970, 0.6028], [0.0199, 0.8030, 0.6028], [0.9801, 0.1970, 0.3972], [0.0153, 0.8064, 0.1644], [0.4847, 0.3064, 0.8356], [0.7009, 0.1285, 0.1093], [0.7991, 0.6285, 0.8907], [0.2991, 0.8715, 0.8907], [0.2009, 0.3715, 0.1093]],
  "raw_formation_energy_ev_per_atom": -0.207,
  "e_tot_ev_per_atom": -3.75,
  "total_magnetization_mub_per_fu": 0.00
}

---

{
  "formula": "Cd2FeSb",
  "functional": "PBE-GGA",
  "state": "optimized geometry",
  "lattice": [[10.1475, 0.0000, 0.0000], [0.0000, 10.1475, 0.0000], [5.0737, 5.0737, 2.3635]],
  "species": ["Fe", "Fe", "Sb", "Sb", "Cd", "Cd", "Cd", "Cd"],
  "fractional_positions": [[0.2500, 0.7500, 0.5000], [0.5000, 0.5000, 0.0000], [0.7500, 0.2500, 0.5000], [0.0000, 0.0000, 0.0000], [0.3749, 0.1250, 0.2500], [0.8750, 0.6249, 0.7500], [0.3751, 0.6250, 0.2500], [0.3750, 0.6251, 0.7500]],
  "raw_formation_energy_ev_per_atom": 0.360,
  "e_tot_ev_per_atom": -3.24,
  "total_magnetization_mub_per_fu": 0.95
}

---

Repeat the third record exactly.
{
  "formula": "LaTb5Mg3",
  "functional": "PBE-GGA",
  "state": "optimized geometry",
  "lattice": [[7.0315, 0.0000, 0.0000], [0.0000, 9.4566, 0.0000], [0.0000, -4.7283, 8.1893]],
  "species": ["Tb", "Tb", "Tb", "Tb", "Tb", "Tb", "Tb", "Tb", "Tb", "Tb", "La", "La", "Mg", "Mg", "Mg", "Mg", "Mg", "Mg"],
  "fractional_positions": [[0.2500, 0.0000, 0.6613], [0.2500, 0.6613, 0.0000], [0.0000, 0.6667, 0.3333], [0.7500, 0.0000, 0.3387], [0.7500, 0.3387, 0.0000], [0.0000, 0.3333, 0.6667], [0.5000, 0.3333, 0.6667], [0.7500, 0.6613, 0.6613], [0.2500, 0.3387, 0.3387], [0.5000, 0.6667, 0.3333], [0.0000, 0.0000, 0.0000], [0.5000, 0.0000, 0.0000], [0.7500, 0.0000, 0.6654], [0.2500, 0.6654, 0.6654], [0.7500, 0.3346, 0.3346], [0.2500, 0.0000, 0.3346], [0.7500, 0.6654, 0.0000], [0.2500, 0.3346, 0.0000]],
  "e_tot_ev_per_atom": -3.63,
  "total_magnetization_mub_per_fu": 0.00,
  "formation_enthalpy_0k_ev_per_atom": 0.018
}